First-principles (PBE+U) data for Co2B2F after structural relaxation, as listed in the Alexandria database.

Values from the calculation:
Raw total energy in eV/cell: -25.4
Space-group type: I4/mmm (139)

abc: 6.2803 6.2803 6.2803
angles: 155.03 155.03 35.61
Atoms (fractional coordinates):
Co: 0.1307 0.1307 0.0000
Co: 0.8693 0.8693 0.0000
B: 0.2500 0.7500 0.5000
B: 0.7500 0.2500 0.5000
F: 0.5000 0.5000 0.0000